[1]
Entry from Alexandria via LeMat-Bulk: a relaxed structure of NbFeAsBr2 (PBE).

```
NbFeAsBr2
1.0
-0.6573 -3.2859 3.9377
4.7796 1.0470 1.6715
-1.8337 3.7989 2.8639
Nb As Br Fe
1 1 2 1
Cartesian
0.0000 0.0000 0.0000
-0.9169 1.8994 1.4319
2.3898 0.5235 0.8358
-0.3287 -1.6429 1.9689
1.1443 0.7800 4.2366
```

energy relative to the elements, uncorrected = 0.585 eV/atom
offset from the most stable computed form = 0.0 meV/atom

=====

[2]
Entry from Alexandria via LeMat-Bulk: a relaxed structure of NbFeAs2Br (PBE).

```
NbFeAs2Br
1.0
4.5062 0.0000 0.0000
0.0000 4.5062 0.0000
0.0000 0.0000 5.1018
Nb As Br Fe
1 2 1 1
Cartesian
2.2531 2.2531 2.5509
0.0000 2.2531 0.0000
2.2531 0.0000 0.0000
0.0000 0.0000 2.5509
0.0000 0.0000 0.0000
```

energy relative to the elements, uncorrected = 0.691 eV/atom

=====

Repeat the second record exactly.
Entry from Alexandria via LeMat-Bulk: a relaxed structure of NbFeAs2Br (PBE).

```
NbFeAs2Br
1.0
4.5062 0.0000 0.0000
0.0000 4.5062 0.0000
0.0000 0.0000 5.1018
Nb As Br Fe
1 2 1 1
Cartesian
2.2531 2.2531 2.5509
0.0000 2.2531 0.0000
2.2531 0.0000 0.0000
0.0000 0.0000 2.5509
0.0000 0.0000 0.0000
```

energy relative to the elements, uncorrected = 0.691 eV/atom

=====

Which value of energy relative to the elements, uncorrected does entry 2 give? 0.691 eV/atom